[1]
The following is a GGA-PBE calculation of a geometry-optimized SmAl4Tc structure, from Alexandria.

Results
**Magnetization**: 0.0000 μB per atom
**SG**: No. 51
**Electronic total energy**: -5.434 eV/atom
**Energy of formation from the pure elements**: -0.424 eV/atom

abc: 7.832 4.166 6.990
angles: 90.00 90.00 90.00
Sites, in units of the cell vectors:
Sm: 0.250 0.000 0.133
Sm: 0.750 0.000 0.867
Al: 0.000 0.000 0.500
Al: 0.066 0.500 0.811
Al: 0.250 0.500 0.466
Al: 0.434 0.500 0.811
Al: 0.500 0.000 0.500
Al: 0.566 0.500 0.189
Al: 0.750 0.500 0.534
Al: 0.934 0.500 0.189
Tc: 0.250 0.000 0.702
Tc: 0.750 0.000 0.298

[2]
The following is a GGA-PBE calculation of a geometry-optimized CaSn2I6 structure, from Alexandria.

Results
**Magnetization**: 0.0000 μB per atom
**SG**: No. 146
**Electronic total energy**: -2.996 eV/atom

abc: 8.943 8.943 8.943
angles: 52.55 52.55 52.55
Sites, in units of the cell vectors:
Ca: 0.000 0.000 0.000
Sn: 0.650 0.650 0.650
Sn: 0.828 0.828 0.828
I: 0.052 0.733 0.420
I: 0.216 0.594 0.926
I: 0.420 0.052 0.733
I: 0.594 0.926 0.216
I: 0.733 0.420 0.052
I: 0.926 0.216 0.594

[3]
The following is a GGA-PBE calculation of a geometry-optimized AlRe2Mo structure, from Alexandria.

Results
**Magnetization**: 0.0000 μB per atom
**SG**: No. 71
**Electronic total energy**: -9.969 eV/atom
**Energy of formation from the pure elements**: -0.101 eV/atom

abc: 3.109 4.387 8.753
angles: 90.00 90.00 90.00
Sites, in units of the cell vectors:
Al: 0.000 0.000 0.000
Al: 0.500 0.500 0.500
Re: 0.000 0.500 0.247
Re: 0.000 0.500 0.753
Re: 0.500 0.000 0.253
Re: 0.500 0.000 0.747
Mo: 0.000 0.000 0.500
Mo: 0.500 0.500 0.000